Record 1
Density functional theory data (PBE) for LaZnPt3 after structural relaxation.

abc: 4.726 4.726 4.726
angles: 90.00 90.00 90.00
Positions (direct):
La  0.000  0.000  0.000
Zn  0.500  0.500  0.500
Pt  0.000  0.500  0.500
Pt  0.500  0.000  0.500
Pt  0.500  0.500  0.000

DFT formation energy: -0.3839 eV per atom

Record 2
Density functional theory data (PBE) for CrAg2Ru after structural relaxation.

abc: 6.266 6.266 6.266
angles: 90.00 90.00 90.00
Positions (direct):
Cr  0.000  0.000  0.000
Cr  0.000  0.500  0.500
Cr  0.500  0.000  0.500
Cr  0.500  0.500  0.000
Ag  0.250  0.250  0.250
Ag  0.250  0.250  0.750
Ag  0.250  0.750  0.250
Ag  0.250  0.750  0.750
Ag  0.750  0.250  0.250
Ag  0.750  0.250  0.750
Ag  0.750  0.750  0.250
Ag  0.750  0.750  0.750
Ru  0.000  0.000  0.500
Ru  0.000  0.500  0.000
Ru  0.500  0.000  0.000
Ru  0.500  0.500  0.500

DFT formation energy: 0.9395 eV per atom

Record 3
Density functional theory data (PBE) for Cd2AgRh after structural relaxation.

abc: 3.222 4.669 9.653
angles: 90.00 90.00 90.00
Positions (direct):
Cd  0.000  0.000  0.000
Cd  0.000  0.500  0.235
Cd  0.500  0.000  0.735
Cd  0.500  0.500  0.500
Ag  0.000  0.000  0.479
Ag  0.500  0.500  0.979
Rh  0.000  0.500  0.737
Rh  0.500  0.000  0.237

DFT formation energy: -0.0283 eV per atom

Record 4
Density functional theory data (PBE) for TiPCl2F after structural relaxation.

abc: 5.083 5.083 3.622
angles: 90.00 90.00 90.00
Positions (direct):
Ti  0.000  0.000  0.000
P  0.500  0.500  0.000
Cl  0.000  0.500  0.500
Cl  0.500  0.000  0.500
F  0.500  0.500  0.500

final energy: -3.74 eV/atom

Record 5
Density functional theory data (PBE) for TaC5 after structural relaxation.

abc: 3.033 13.048 2.714
angles: 90.00 90.00 90.00
Positions (direct):
Ta  0.000  0.000  0.000
Ta  0.500  0.500  0.000
C  0.000  0.291  0.500
C  0.000  0.345  0.000
C  0.000  0.500  0.500
C  0.000  0.655  0.000
C  0.000  0.709  0.500
C  0.500  0.000  0.500
C  0.500  0.155  0.000
C  0.500  0.209  0.500
C  0.500  0.791  0.500
C  0.500  0.845  0.000

DFT formation energy: 1.2082 eV per atom

Record 6
Density functional theory data (PBE) for Hf2Zr3Bi3 after structural relaxation.

abc: 8.696 8.696 5.855
angles: 90.00 90.00 120.00
Positions (direct):
Hf  0.333  0.667  0.000
Hf  0.333  0.667  0.500
Hf  0.667  0.333  0.000
Hf  0.667  0.333  0.500
Zr  0.000  0.256  0.250
Zr  0.000  0.744  0.750
Zr  0.256  0.000  0.250
Zr  0.256  0.256  0.750
Zr  0.744  0.000  0.750
Zr  0.744  0.744  0.250
Bi  0.000  0.386  0.750
Bi  0.000  0.614  0.250
Bi  0.386  0.000  0.750
Bi  0.386  0.386  0.250
Bi  0.614  0.000  0.250
Bi  0.614  0.614  0.750

DFT formation energy: -0.1973 eV per atom

Record 7
Density functional theory data (PBE) for HgH6SN2 after structural relaxation.

abc: 8.392 8.392 4.442
angles: 100.91 100.91 67.44
Positions (direct):
Hg  0.125  0.875  0.750
Hg  0.875  0.125  0.250
H  0.009  0.603  0.875
H  0.154  0.439  0.340
H  0.189  0.256  0.095
H  0.256  0.189  0.595
H  0.397  0.991  0.625
H  0.439  0.154  0.840
H  0.561  0.846  0.160
H  0.603  0.009  0.375
H  0.744  0.811  0.405
H  0.811  0.744  0.905
H  0.846  0.561  0.660
H  0.991  0.397  0.125
S  0.232  0.768  0.250
S  0.768  0.232  0.750
N  0.108  0.341  0.251
N  0.341  0.108  0.751
N  0.659  0.892  0.249
N  0.892  0.659  0.749

final energy: -4.35 eV/atom

Record 8
Density functional theory data (PBE) for UPa3N6 after structural relaxation.

abc: 5.819 5.819 11.074
angles: 90.00 90.00 120.00
Positions (direct):
U  0.333  0.667  0.250
U  0.667  0.333  0.750
Pa  0.000  0.000  0.000
Pa  0.000  0.000  0.500
Pa  0.333  0.667  0.551
Pa  0.333  0.667  0.949
Pa  0.667  0.333  0.051
Pa  0.667  0.333  0.449
N  0.049  0.366  0.117
N  0.049  0.683  0.383
N  0.317  0.366  0.383
N  0.317  0.951  0.117
N  0.366  0.049  0.883
N  0.366  0.317  0.617
N  0.634  0.683  0.117
N  0.634  0.951  0.383
N  0.683  0.049  0.617
N  0.683  0.634  0.883
N  0.951  0.317  0.883
N  0.951  0.634  0.617

final energy: -10.18 eV/atom